Model P:
# Sc3TcC, optimized geometry, DFT PBE-GGA
data_Sc3TcC
_chemical_formula_sum 'Sc3 Tc1 C1'
_space_group_name_H-M_alt 'P m -3 m'
_space_group_IT_number 221
_space_group_name_Hall '-P 4 2 3'
_cell_length_a 4.4449
_cell_length_b 4.4449
_cell_length_c 4.4449
_cell_angle_alpha 90.00
_cell_angle_beta 90.00
_cell_angle_gamma 90.00
loop_
_atom_site_label
_atom_site_fract_x
_atom_site_fract_y
_atom_site_fract_z
Sc1 0.0000 0.0000 0.5000
Tc1 0.5000 0.5000 0.5000
C1 0.0000 0.0000 0.0000
# Total magnetization = 0.0 Bohr magnetons per cell

Model Q:
# Sc3TcC, optimized geometry, DFT PBE-GGA
data_Sc3TcC
_chemical_formula_sum 'Sc3 Tc1 C1'
_space_group_name_H-M_alt 'P m -3 m'
_space_group_IT_number 221
_space_group_name_Hall '-P 4 2 3'
_cell_length_a 4.8852
_cell_length_b 4.8852
_cell_length_c 4.8852
_cell_angle_alpha 90.00
_cell_angle_beta 90.00
_cell_angle_gamma 90.00
loop_
_atom_site_label
_atom_site_fract_x
_atom_site_fract_y
_atom_site_fract_z
Sc1 0.0000 0.0000 0.5000
Tc1 0.0000 0.0000 0.0000
C1 0.5000 0.5000 0.5000
# Total magnetization = 0.0 Bohr magnetons per cell

Which of them is most stable, and which least? Most stable: model P; least stable: model Q.

Model P:
# ScTc2C2, optimized geometry, DFT PBE-GGA
data_ScTc2C2
_chemical_formula_sum 'Sc2 Tc4 C4'
_space_group_name_H-M_alt 'P 4/m b m'
_space_group_IT_number 127
_space_group_name_Hall '-P 4 2ab'
_cell_length_a 6.2287
_cell_length_b 6.2287
_cell_length_c 2.8846
_cell_angle_alpha 90.00
_cell_angle_beta 90.00
_cell_angle_gamma 90.00
loop_
_atom_site_label
_atom_site_fract_x
_atom_site_fract_y
_atom_site_fract_z
Sc1 0.0000 0.0000 0.0000
Tc1 0.1456 0.3544 0.5000
C1 0.1461 0.6461 0.0000
# Total magnetization = 0.0 Bohr magnetons per cell

Model Q:
# ScTc2C2, optimized geometry, DFT PBE-GGA
data_ScTc2C2
_chemical_formula_sum 'Sc2 Tc4 C4'
_space_group_name_H-M_alt 'I 4/m m m'
_space_group_IT_number 139
_space_group_name_Hall '-I 4 2'
_cell_length_a 3.8843
_cell_length_b 3.8843
_cell_length_c 9.0777
_cell_angle_alpha 90.00
_cell_angle_beta 90.00
_cell_angle_gamma 90.00
loop_
_atom_site_label
_atom_site_fract_x
_atom_site_fract_y
_atom_site_fract_z
Sc1 0.0000 0.0000 0.0000
Tc1 0.0000 0.5000 0.2500
C1 0.0000 0.0000 0.3291
# Total magnetization = 0.0 Bohr magnetons per cell

Which of them is most stable, and which least? Most stable: model Q; least stable: model P.

Model P:
# ScTcC, optimized geometry, DFT PBE-GGA
data_ScTcC
_chemical_formula_sum 'Sc4 Tc4 C4'
_space_group_name_H-M_alt 'C 1 2/m 1'
_space_group_IT_number 12
_cell_length_a 11.0366
_cell_length_b 3.1116
_cell_length_c 5.4816
_cell_angle_alpha 90.00
_cell_angle_beta 117.31
_cell_angle_gamma 90.00
loop_
_space_group_symop_operation_xyz
'x,y,z'
'-x,-y,-z'
'-x,y,-z'
'x,-y,z'
'x+1/2,y+1/2,z'
'-x+1/2,-y+1/2,-z'
'-x+1/2,y+1/2,-z'
'x+1/2,-y+1/2,z'
loop_
_atom_site_label
_atom_site_fract_x
_atom_site_fract_y
_atom_site_fract_z
Sc1 0.1150 0.0000 0.3075
Tc1 0.1438 0.5000 0.8161
C1 0.2475 0.5000 0.2363
# Total magnetization = 0.0 Bohr magnetons per cell

Model Q:
# ScTcC, optimized geometry, DFT PBE-GGA
data_ScTcC
_chemical_formula_sum 'Sc1 Tc1 C1'
_space_group_name_H-M_alt 'P 3 m 1'
_space_group_IT_number 156
_cell_length_a 3.4542
_cell_length_b 3.4542
_cell_length_c 4.3063
_cell_angle_alpha 90.00
_cell_angle_beta 90.00
_cell_angle_gamma 120.00
loop_
_space_group_symop_operation_xyz
'x,y,z'
'-y,x-y,z'
'-x+y,-x,z'
'-y,-x,z'
'-x+y,y,z'
'x,x-y,z'
loop_
_atom_site_label
_atom_site_fract_x
_atom_site_fract_y
_atom_site_fract_z
Sc1 0.0000 0.0000 0.0000
Tc1 0.6667 0.3333 0.4435
C1 0.3333 0.6667 0.3745
# Total magnetization = 0.0 Bohr magnetons per cell

Which of them is most stable, and which least? Most stable: model P; least stable: model Q.

Model P:
# ScTcC, optimized geometry, DFT PBE-GGA
data_ScTcC
_chemical_formula_sum 'Sc4 Tc4 C4'
_space_group_name_H-M_alt 'P 1 21/c 1'
_space_group_IT_number 14
_cell_length_a 4.9505
_cell_length_b 6.2227
_cell_length_c 5.5184
_cell_angle_alpha 90.00
_cell_angle_beta 93.45
_cell_angle_gamma 90.00
loop_
_space_group_symop_operation_xyz
'x,y,z'
'-x,-y,-z'
'-x,y+1/2,-z+1/2'
'x,-y+1/2,z+1/2'
loop_
_atom_site_label
_atom_site_fract_x
_atom_site_fract_y
_atom_site_fract_z
Sc1 0.2140 0.1266 0.3972
Tc1 0.3078 0.6371 0.3941
C1 0.4985 0.6246 0.7433
# Total magnetization = 0.0 Bohr magnetons per cell

Model Q:
# ScTcC, optimized geometry, DFT PBE-GGA
data_ScTcC
_chemical_formula_sum 'Sc4 Tc4 C4'
_space_group_name_H-M_alt 'C 1 2/m 1'
_space_group_IT_number 12
_cell_length_a 9.3218
_cell_length_b 3.1080
_cell_length_c 6.4646
_cell_angle_alpha 90.00
_cell_angle_beta 123.04
_cell_angle_gamma 90.00
loop_
_space_group_symop_operation_xyz
'x,y,z'
'-x,-y,-z'
'-x,y,-z'
'x,-y,z'
'x+1/2,y+1/2,z'
'-x+1/2,-y+1/2,-z'
'-x+1/2,y+1/2,-z'
'x+1/2,-y+1/2,z'
loop_
_atom_site_label
_atom_site_fract_x
_atom_site_fract_y
_atom_site_fract_z
Sc1 0.0793 0.0000 0.3664
Tc1 0.1762 0.5000 0.0801
C1 0.1807 0.5000 0.7011
# Total magnetization = 0.0 Bohr magnetons per cell

Which of them is most stable, and which least? Most stable: model P; least stable: model Q.